NaTmMoO5: optimized geometry, PBE with a Hubbard U.

Geometry as POSCAR:
```
NaTmMoO5
1.0
6.1760 0.4597 -0.0185
-1.3632 6.0412 -0.0185
-2.0196 -2.7280 7.2799
Na Tm Mo O
2 2 2 10
Cartesian
0.4192 3.6658 1.8015
2.3740 0.1070 5.4414
-1.0098 -1.3640 3.6399
0.0000 0.0000 0.0000
3.0364 1.7282 1.8015
-0.2432 2.0446 5.4414
-1.3482 4.9743 1.8015
4.1414 -1.2014 5.4414
4.3919 1.8193 0.6189
-1.5987 1.9536 6.6240
3.3450 0.4052 2.9840
-0.5518 3.3677 4.2589
2.8075 3.2784 2.6734
-0.0143 0.4945 4.5695
1.4869 1.4946 0.9295
1.3062 2.2782 6.3133
```

The value obtained for the total energy is -6.982 eV/atom.